Run P
# Nd2TmSe, optimized geometry, DFT PBE
data_Nd2TmSe
_symmetry_space_group_name_H-M 'P 4/m m m'
_symmetry_Int_Tables_number 123
_symmetry_space_group_name_Hall '-P 4 2'
_cell_length_a 3.685
_cell_length_b 3.685
_cell_length_c 8.676
_cell_angle_alpha 90.00
_cell_angle_beta 90.00
_cell_angle_gamma 90.00
loop_
_atom_site_label
_atom_site_type_symbol
_atom_site_fract_x
_atom_site_fract_y
_atom_site_fract_z
Nd1 Nd 0.000 0.000 0.209
Tm1 Tm 0.500 0.500 0.500
Se1 Se 0.500 0.500 0.000
# calculated volume = 118 Å³ per cell

Run Q
# Nd2TmSe, optimized geometry, DFT PBE
data_Nd2TmSe
_symmetry_space_group_name_H-M 'R -3 m'
_symmetry_Int_Tables_number 166
_symmetry_space_group_name_Hall '-R 3 2"'
_cell_length_a 3.8975
_cell_length_b 3.8975
_cell_length_c 28.9579
_cell_angle_alpha 90.00
_cell_angle_beta 90.00
_cell_angle_gamma 120.00
loop_
_atom_site_label
_atom_site_type_symbol
_atom_site_fract_x
_atom_site_fract_y
_atom_site_fract_z
Nd1 Nd 0.0000 0.0000 0.2336
Tm1 Tm 0.0000 0.0000 0.0000
Se1 Se 0.0000 0.0000 0.5000
# calculated volume = 381 Å³ per cell

Verdict on stability: run P comes out at the bottom.

Run P
# NdTmSe2, optimized geometry, DFT PBE
data_NdTmSe2
_symmetry_space_group_name_H-M 'P -3 m 1'
_symmetry_Int_Tables_number 164
_symmetry_space_group_name_Hall '-P 3 2"'
_cell_length_a 3.9381
_cell_length_b 3.9381
_cell_length_c 7.5196
_cell_angle_alpha 90.00
_cell_angle_beta 90.00
_cell_angle_gamma 120.00
loop_
_atom_site_label
_atom_site_type_symbol
_atom_site_fract_x
_atom_site_fract_y
_atom_site_fract_z
Nd1 Nd 0.0000 0.0000 0.0000
Tm1 Tm 0.0000 0.0000 0.5000
Se1 Se 0.3333 0.6667 0.7301
# calculated volume = 101 Å³ per cell

Run Q
# NdTmSe2, optimized geometry, DFT PBE
data_NdTmSe2
_symmetry_space_group_name_H-M 'R 3 m'
_symmetry_Int_Tables_number 160
_symmetry_space_group_name_Hall 'R 3 -2"'
_cell_length_a 3.9767
_cell_length_b 3.9767
_cell_length_c 21.9781
_cell_angle_alpha 90.00
_cell_angle_beta 90.00
_cell_angle_gamma 120.00
loop_
_atom_site_label
_atom_site_type_symbol
_atom_site_fract_x
_atom_site_fract_y
_atom_site_fract_z
Nd1 Nd 0.0000 0.0000 0.0000
Tm1 Tm 0.0000 0.0000 0.8238
Se1 Se 0.0000 0.0000 0.4162
Se2 Se 0.0000 0.0000 0.5745
# calculated volume = 301 Å³ per cell

Verdict on stability: run P comes out at the bottom.

Run P
# NdTm2Se4, optimized geometry, DFT PBE
data_NdTm2Se4
_symmetry_space_group_name_H-M 'P 1 2/m 1'
_symmetry_Int_Tables_number 10
_cell_length_a 6.977
_cell_length_b 4.074
_cell_length_c 7.188
_cell_angle_alpha 90.00
_cell_angle_beta 107.96
_cell_angle_gamma 90.00
loop_
_symmetry_equiv_pos_as_xyz
'x,y,z'
'-x,-y,-z'
'-x,y,-z'
'x,-y,z'
loop_
_atom_site_label
_atom_site_type_symbol
_atom_site_fract_x
_atom_site_fract_y
_atom_site_fract_z
Nd1 Nd 0.000 0.000 0.000
Tm1 Tm 0.000 0.500 0.500
Tm2 Tm 0.500 0.000 0.500
Se1 Se 0.244 0.000 0.733
Se2 Se 0.263 0.500 0.260
# calculated volume = 194 Å³ per cell

Run Q
# NdTm2Se4, optimized geometry, DFT PBE
data_NdTm2Se4
_symmetry_space_group_name_H-M 'C m c m'
_symmetry_Int_Tables_number 63
_symmetry_space_group_name_Hall '-C 2c 2'
_cell_length_a 3.999
_cell_length_b 13.342
_cell_length_c 13.770
_cell_angle_alpha 90.00
_cell_angle_beta 90.00
_cell_angle_gamma 90.00
loop_
_atom_site_label
_atom_site_type_symbol
_atom_site_fract_x
_atom_site_fract_y
_atom_site_fract_z
Nd1 Nd 0.000 0.124 0.250
Tm1 Tm 0.000 0.369 0.068
Se1 Se 0.000 0.000 0.000
Se2 Se 0.000 0.273 0.618
Se3 Se 0.000 0.458 0.250
# calculated volume = 735 Å³ per cell

Verdict on stability: run Q comes out at the bottom.

Run P
# Nd4Tm3Se8, optimized geometry, DFT PBE
data_Nd4Tm3Se8
_symmetry_space_group_name_H-M 'C 1 2/m 1'
_symmetry_Int_Tables_number 12
_cell_length_a 11.647
_cell_length_b 11.659
_cell_length_c 8.238
_cell_angle_alpha 90.00
_cell_angle_beta 134.91
_cell_angle_gamma 90.00
loop_
_symmetry_equiv_pos_as_xyz
'x,y,z'
'-x,-y,-z'
'-x,y,-z'
'x,-y,z'
'x+1/2,y+1/2,z'
'-x+1/2,-y+1/2,-z'
'-x+1/2,y+1/2,-z'
'x+1/2,-y+1/2,z'
loop_
_atom_site_label
_atom_site_type_symbol
_atom_site_fract_x
_atom_site_fract_y
_atom_site_fract_z
Nd1 Nd 0.000 0.000 0.000
Nd2 Nd 0.000 0.500 0.500
Nd3 Nd 0.250 0.250 0.000
Tm1 Tm 0.000 0.500 0.000
Tm2 Tm 0.250 0.250 0.500
Se1 Se 0.000 0.242 0.500
Se2 Se 0.000 0.256 0.000
Se3 Se 0.248 0.000 0.512
Se4 Se 0.249 0.000 0.986
# calculated volume = 792 Å³ per cell

Run Q
# Nd4Tm3Se8, optimized geometry, DFT PBE
data_Nd4Tm3Se8
_symmetry_space_group_name_H-M 'R -3 m'
_symmetry_Int_Tables_number 166
_symmetry_space_group_name_Hall '-R 3 2"'
_cell_length_a 8.0895
_cell_length_b 8.0895
_cell_length_c 23.0286
_cell_angle_alpha 90.00
_cell_angle_beta 90.00
_cell_angle_gamma 120.00
loop_
_atom_site_label
_atom_site_type_symbol
_atom_site_fract_x
_atom_site_fract_y
_atom_site_fract_z
Nd1 Nd 0.0000 0.0000 0.0000
Nd2 Nd 0.0000 0.0000 0.1464
Nd3 Nd 0.0000 0.0000 0.5000
Tm1 Tm 0.0000 0.5000 0.0000
Se1 Se 0.0000 0.0000 0.2699
Se2 Se 0.0113 0.5056 0.2558
# calculated volume = 1305 Å³ per cell

Verdict on stability: run Q comes out at the bottom.

Run P
# Nd2U3Se8, optimized geometry, DFT PBE
data_Nd2U3Se8
_symmetry_space_group_name_H-M 'C m m m'
_symmetry_Int_Tables_number 65
_symmetry_space_group_name_Hall '-C 2 2'
_cell_length_a 9.890
_cell_length_b 14.254
_cell_length_c 4.975
_cell_angle_alpha 90.00
_cell_angle_beta 90.00
_cell_angle_gamma 90.00
loop_
_atom_site_label
_atom_site_type_symbol
_atom_site_fract_x
_atom_site_fract_y
_atom_site_fract_z
Nd1 Nd 0.000 0.233 0.000
U1 U 0.000 0.500 0.000
U2 U 0.235 0.000 0.500
Se1 Se 0.000 0.123 0.500
Se2 Se 0.000 0.386 0.500
Se3 Se 0.238 0.380 0.000
# calculated volume = 701 Å³ per cell

Run Q
# Nd2U3Se8, optimized geometry, DFT PBE
data_Nd2U3Se8
_symmetry_space_group_name_H-M 'C 1 2/m 1'
_symmetry_Int_Tables_number 12
_cell_length_a 14.848
_cell_length_b 8.253
_cell_length_c 7.087
_cell_angle_alpha 90.00
_cell_angle_beta 109.00
_cell_angle_gamma 90.00
loop_
_symmetry_equiv_pos_as_xyz
'x,y,z'
'-x,-y,-z'
'-x,y,-z'
'x,-y,z'
'x+1/2,y+1/2,z'
'-x+1/2,-y+1/2,-z'
'-x+1/2,y+1/2,-z'
'x+1/2,-y+1/2,z'
loop_
_atom_site_label
_atom_site_type_symbol
_atom_site_fract_x
_atom_site_fract_y
_atom_site_fract_z
Nd1 Nd 0.241 0.000 0.167
U1 U 0.000 0.241 0.500
U2 U 0.000 0.500 0.000
Se1 Se 0.115 0.000 0.413
Se2 Se 0.115 0.500 0.419
Se3 Se 0.123 0.262 0.910
# calculated volume = 821 Å³ per cell

Verdict on stability: run Q comes out at the bottom.

Run P
# Nd2USe5, optimized geometry, DFT PBE
data_Nd2USe5
_symmetry_space_group_name_H-M 'P n m a'
_symmetry_Int_Tables_number 62
_cell_length_a 12.516
_cell_length_b 8.416
_cell_length_c 7.883
_cell_angle_alpha 90.00
_cell_angle_beta 90.00
_cell_angle_gamma 90.00
loop_
_symmetry_equiv_pos_as_xyz
'x,y,z'
'-x,-y,-z'
'-x+1/2,-y,z+1/2'
'x+1/2,y,-z+1/2'
'x+1/2,-y+1/2,-z+1/2'
'-x+1/2,y+1/2,z+1/2'
'-x,y+1/2,-z'
'x,-y+1/2,z'
loop_
_atom_site_label
_atom_site_type_symbol
_atom_site_fract_x
_atom_site_fract_y
_atom_site_fract_z
Nd1 Nd 0.178 0.002 0.023
U1 U 0.008 0.750 0.572
Se1 Se 0.000 0.250 0.045
Se2 Se 0.096 0.044 0.663
Se3 Se 0.184 0.750 0.328
Se4 Se 0.214 0.250 0.303
# calculated volume = 830 Å³ per cell

Run Q
# Nd2USe5, optimized geometry, DFT PBE
data_Nd2USe5
_symmetry_space_group_name_H-M 'C m c m'
_symmetry_Int_Tables_number 63
_symmetry_space_group_name_Hall '-C 2c 2'
_cell_length_a 5.720
_cell_length_b 14.125
_cell_length_c 13.923
_cell_angle_alpha 90.00
_cell_angle_beta 90.00
_cell_angle_gamma 90.00
loop_
_atom_site_label
_atom_site_type_symbol
_atom_site_fract_x
_atom_site_fract_y
_atom_site_fract_z
Nd1 Nd 0.000 0.146 0.060
U1 U 0.000 0.197 0.750
Se1 Se 0.000 0.048 0.623
Se2 Se 0.000 0.260 0.250
Se3 Se 0.000 0.312 0.579
# calculated volume = 1125 Å³ per cell

Verdict on stability: run Q comes out at the bottom.

Run P
# NdUSe3, optimized geometry, DFT PBE
data_NdUSe3
_symmetry_space_group_name_H-M 'C 1 2/m 1'
_symmetry_Int_Tables_number 12
_cell_length_a 15.096
_cell_length_b 4.066
_cell_length_c 9.108
_cell_angle_alpha 90.00
_cell_angle_beta 93.10
_cell_angle_gamma 90.00
loop_
_symmetry_equiv_pos_as_xyz
'x,y,z'
'-x,-y,-z'
'-x,y,-z'
'x,-y,z'
'x+1/2,y+1/2,z'
'-x+1/2,-y+1/2,-z'
'-x+1/2,y+1/2,-z'
'x+1/2,-y+1/2,z'
loop_
_atom_site_label
_atom_site_type_symbol
_atom_site_fract_x
_atom_site_fract_y
_atom_site_fract_z
Nd1 Nd 0.111 0.000 0.077
U1 U 0.178 0.500 0.643
Se1 Se 0.033 0.500 0.834
Se2 Se 0.137 0.000 0.431
Se3 Se 0.248 0.000 0.840
# calculated volume = 558 Å³ per cell

Run Q
# NdUSe3, optimized geometry, DFT PBE
data_NdUSe3
_symmetry_space_group_name_H-M 'P n m a'
_symmetry_Int_Tables_number 62
_cell_length_a 7.803
_cell_length_b 4.124
_cell_length_c 16.160
_cell_angle_alpha 90.00
_cell_angle_beta 90.00
_cell_angle_gamma 90.00
loop_
_symmetry_equiv_pos_as_xyz
'x,y,z'
'-x,-y,-z'
'-x+1/2,-y,z+1/2'
'x+1/2,y,-z+1/2'
'x+1/2,-y+1/2,-z+1/2'
'-x+1/2,y+1/2,z+1/2'
'-x,y+1/2,-z'
'x,-y+1/2,z'
loop_
_atom_site_label
_atom_site_type_symbol
_atom_site_fract_x
_atom_site_fract_y
_atom_site_fract_z
Nd1 Nd 0.115 0.250 0.205
U1 U 0.234 0.750 0.461
Se1 Se 0.007 0.250 0.397
Se2 Se 0.122 0.750 0.067
Se3 Se 0.167 0.250 0.783
# calculated volume = 520 Å³ per cell

Verdict on stability: run P comes out at the bottom.

Run P
# NdU2Se4, optimized geometry, DFT PBE
data_NdU2Se4
_symmetry_space_group_name_H-M 'I -4 2 d'
_symmetry_Int_Tables_number 122
_symmetry_space_group_name_Hall 'I -4 2bw'
_cell_length_a 8.750
_cell_length_b 8.750
_cell_length_c 8.779
_cell_angle_alpha 90.00
_cell_angle_beta 90.00
_cell_angle_gamma 90.00
loop_
_atom_site_label
_atom_site_type_symbol
_atom_site_fract_x
_atom_site_fract_y
_atom_site_fract_z
Nd1 Nd 0.000 0.000 0.000
U1 U 0.127 0.750 0.625
Se1 Se 0.078 0.672 0.948
# calculated volume = 672 Å³ per cell

Run Q
# NdU2Se4, optimized geometry, DFT PBE
data_NdU2Se4
_symmetry_space_group_name_H-M 'C m c m'
_symmetry_Int_Tables_number 63
_symmetry_space_group_name_Hall '-C 2c 2'
_cell_length_a 3.977
_cell_length_b 13.515
_cell_length_c 14.039
_cell_angle_alpha 90.00
_cell_angle_beta 90.00
_cell_angle_gamma 90.00
loop_
_atom_site_label
_atom_site_type_symbol
_atom_site_fract_x
_atom_site_fract_y
_atom_site_fract_z
Nd1 Nd 0.000 0.114 0.250
U1 U 0.000 0.363 0.064
Se1 Se 0.000 0.000 0.000
Se2 Se 0.000 0.278 0.626
Se3 Se 0.000 0.450 0.250
# calculated volume = 755 Å³ per cell

Verdict on stability: run Q comes out at the bottom.

Run P
# NdU6Se8, optimized geometry, DFT PBE
data_NdU6Se8
_symmetry_space_group_name_H-M 'R -3'
_symmetry_Int_Tables_number 148
_symmetry_space_group_name_Hall '-R 3'
_cell_length_a 10.8827
_cell_length_b 10.8827
_cell_length_c 11.8045
_cell_angle_alpha 90.00
_cell_angle_beta 90.00
_cell_angle_gamma 120.00
loop_
_atom_site_label
_atom_site_type_symbol
_atom_site_fract_x
_atom_site_fract_y
_atom_site_fract_z
Nd1 Nd 0.0000 0.0000 0.0000
U1 U 0.0814 0.2148 0.4355
Se1 Se 0.0000 0.0000 0.2620
Se2 Se 0.0051 0.7064 0.0430
# calculated volume = 1211 Å³ per cell

Run Q
# NdU6Se8, optimized geometry, DFT PBE
data_NdU6Se8
_symmetry_space_group_name_H-M 'F m -3 m'
_symmetry_Int_Tables_number 225
_symmetry_space_group_name_Hall '-F 4 2 3'
_cell_length_a 11.481
_cell_length_b 11.481
_cell_length_c 11.481
_cell_angle_alpha 90.00
_cell_angle_beta 90.00
_cell_angle_gamma 90.00
loop_
_atom_site_label
_atom_site_type_symbol
_atom_site_fract_x
_atom_site_fract_y
_atom_site_fract_z
Nd1 Nd 0.000 0.000 0.000
U1 U 0.000 0.250 0.250
Se1 Se 0.000 0.000 0.262
Se2 Se 0.250 0.250 0.250
# calculated volume = 1513 Å³ per cell

Verdict on stability: run P comes out at the bottom.

Run P
# NdUSe2, optimized geometry, DFT PBE
data_NdUSe2
_symmetry_space_group_name_H-M 'C m c m'
_symmetry_Int_Tables_number 63
_symmetry_space_group_name_Hall '-C 2c 2'
_cell_length_a 3.971
_cell_length_b 24.009
_cell_length_c 4.276
_cell_angle_alpha 90.00
_cell_angle_beta 90.00
_cell_angle_gamma 90.00
loop_
_atom_site_label
_atom_site_type_symbol
_atom_site_fract_x
_atom_site_fract_y
_atom_site_fract_z
Nd1 Nd 0.000 0.073 0.250
U1 U 0.000 0.312 0.250
Se1 Se 0.000 0.193 0.250
Se2 Se 0.000 0.438 0.250
# calculated volume = 408 Å³ per cell

Run Q
# NdUSe2, optimized geometry, DFT PBE
data_NdUSe2
_symmetry_space_group_name_H-M 'R -3 m'
_symmetry_Int_Tables_number 166
_symmetry_space_group_name_Hall '-R 3 2"'
_cell_length_a 4.0889
_cell_length_b 4.0889
_cell_length_c 20.9298
_cell_angle_alpha 90.00
_cell_angle_beta 90.00
_cell_angle_gamma 120.00
loop_
_atom_site_label
_atom_site_type_symbol
_atom_site_fract_x
_atom_site_fract_y
_atom_site_fract_z
Nd1 Nd 0.0000 0.0000 0.0000
U1 U 0.0000 0.0000 0.5000
Se1 Se 0.0000 0.0000 0.2468
# calculated volume = 303 Å³ per cell

Verdict on stability: run P comes out at the bottom.